Entry 1:
PaTa2N4: optimized geometry, GGA-PBE.

Space group: Cmcm, No. 63
DOS at the Fermi energy (states/eV/cell): 9.7
Mass density (kg/m3): 12793
Raw formation energy (eV per atom): -1.289

Lattice parameters (Å, degrees): 3.164 5.377 10.362 90.00 90.00 107.11
Atoms (fractional coordinates):
N 0.500 0.000 0.000
N 0.944 0.888 0.750
N 0.235 0.471 0.616
N 0.235 0.471 0.884
N 0.765 0.529 0.384
N 0.056 0.112 0.250
N 0.500 0.000 0.500
N 0.765 0.529 0.116
Ta 0.128 0.256 0.437
Ta 0.128 0.256 0.063
Ta 0.872 0.744 0.937
Ta 0.872 0.744 0.563
Pa 0.386 0.772 0.250
Pa 0.614 0.228 0.750

=====

Entry 2:
CuNi2W: optimized geometry, GGA-PBE.

Space group: P4mm, No. 99
DOS at the Fermi energy (states/eV/cell): 5.0
Energy above the most stable polymorph in this dataset (eV/f.u.): 0.48
Mass density (kg/m3): 12104
Calculated formation energy (eV/atom): 0.131

Lattice parameters (Å, degrees): 2.629 2.629 7.241 90.00 90.00 90.00
Atoms (fractional coordinates):
Ni 0.500 0.500 0.234
Ni 0.000 0.000 0.004
Cu 0.500 0.500 0.770
W 0.000 0.000 0.492

=====

Repeat the second record exactly.
CuNi2W: optimized geometry, GGA-PBE.

Space group: P4mm, No. 99
DOS at the Fermi energy (states/eV/cell): 5.0
Energy above the most stable polymorph in this dataset (eV/f.u.): 0.48
Mass density (kg/m3): 12104
Calculated formation energy (eV/atom): 0.131

Lattice parameters (Å, degrees): 2.629 2.629 7.241 90.00 90.00 90.00
Atoms (fractional coordinates):
Ni 0.500 0.500 0.234
Ni 0.000 0.000 0.004
Cu 0.500 0.500 0.770
W 0.000 0.000 0.492